[1]
Compound: Zn2H2F7
Source: Alexandria via LeMat-Bulk
Functional: PBE-GGA
Structure: relaxed

Computed properties:
Uncorrected energy   -41.68 eV for the cell shown

Cell lengths 5.075, 5.530, 5.530 Å; angles 118.19, 94.94, 94.94 degrees
Element x y z (fractional)
Zn: 0.000 0.316 0.684
Zn: 0.000 0.684 0.316
H: 0.639 0.182 0.182
H: 0.361 0.818 0.818
F: 0.777 0.942 0.550
F: 0.223 0.450 0.058
F: 0.223 0.058 0.450
F: 0.777 0.550 0.942
F: 0.500 0.000 0.000
F: 0.215 0.645 0.645
F: 0.785 0.355 0.355

[2]
Compound: HfTa2Cu
Source: Alexandria via LeMat-Bulk
Functional: PBE-GGA
Structure: relaxed

Computed properties:
Uncorrected energy   -36.42 eV for the cell shown
Energy above the lowest structure with this stoichiometry   0.0 kJ/mol of atoms
E_form   333 meV/atom

Cell lengths 4.621, 4.621, 4.621 Å; angles 60.00, 60.00, 60.00 degrees
Element x y z (fractional)
Hf: 0.500 0.500 0.500
Cu: 0.000 0.000 0.000
Ta: 0.250 0.250 0.250
Ta: 0.750 0.750 0.750

[3]
Compound: La2HoTl4
Source: Alexandria via LeMat-Bulk
Functional: PBE-GGA
Structure: relaxed

Computed properties:
Uncorrected energy   -23.46 eV for the cell shown
Energy above the lowest structure with this stoichiometry   31.3 kJ/mol of atoms
E_form   62 meV/atom

Cell lengths 5.721, 5.721, 9.127 Å; angles 108.26, 108.26, 90.00 degrees
Element x y z (fractional)
La: 0.612 0.612 0.225
La: 0.388 0.388 0.775
Ho: 0.000 0.000 0.000
Tl: 0.813 0.813 0.626
Tl: 0.187 0.187 0.374
Tl: 0.000 0.500 0.000
Tl: 0.500 0.000 0.000

[4]
Compound: SmBeSe
Source: Alexandria via LeMat-Bulk
Functional: PBE-GGA
Structure: relaxed

Computed properties:
Uncorrected energy   -28.63 eV for the cell shown
Formation energy from raw total energies   -0.79 eV per atom

Cell lengths 4.580, 4.580, 8.261 Å; angles 73.91, 73.91, 60.00 degrees
Element x y z (fractional)
Se: 0.281 0.281 0.158
Se: 0.719 0.719 0.842
Be: 0.176 0.176 0.472
Be: 0.824 0.824 0.528
Sm: 0.426 0.426 0.721
Sm: 0.574 0.574 0.279

[5]
Compound: KFeAs2
Source: Alexandria via LeMat-Bulk
Functional: PBE-GGA
Structure: relaxed

Computed properties:
Uncorrected energy   -16.93 eV for the cell shown
Energy above the lowest structure with this stoichiometry   60.6 kJ/mol of atoms
E_form   483 meV/atom

Cell lengths 5.535, 5.535, 2.753 Å; angles 90.00, 90.00, 90.00 degrees
Element x y z (fractional)
As: 0.000 0.000 0.000
As: 0.500 0.500 0.000
Fe: 0.500 0.000 0.500
K: 0.000 0.500 0.500

[6]
Compound: SmCd17Hg
Source: Alexandria via LeMat-Bulk
Functional: PBE-GGA
Structure: relaxed

Computed properties:
Uncorrected energy   -21.27 eV for the cell shown
E_form   -37 meV/atom

Cell lengths 7.759, 7.759, 7.759 Å; angles 81.05, 81.05, 81.05 degrees
Element x y z (fractional)
Sm: 0.329 0.329 0.329
Cd: 0.310 0.000 0.698
Cd: 0.698 0.310 0.000
Cd: 0.000 0.698 0.310
Cd: 0.310 0.698 0.000
Cd: 0.000 0.310 0.698
Cd: 0.698 0.000 0.310
Cd: 0.347 0.875 0.347
Cd: 0.347 0.347 0.875
Cd: 0.875 0.347 0.347
Cd: 0.626 0.195 0.626
Cd: 0.626 0.626 0.195
Cd: 0.195 0.626 0.626
Cd: 0.986 0.525 0.986
Cd: 0.986 0.986 0.525
Cd: 0.525 0.986 0.986
Cd: 0.913 0.913 0.913
Cd: 0.105 0.105 0.105
Hg: 0.626 0.626 0.626